Record 1
Compound: NdPuCdSb
Source: the Alexandria database
Functional: PBE
Structure: optimized geometry

Properties
The total moment comes out at 6.8 μB per formula unit. The density of states at the Fermi level is 3.0988 states/eV/atom. The uncorrected formation energy is -39.8 kJ/mol of atoms. As for the total energy: -25.788 eV/cell.

abc: 5.406 5.406 5.406
angles: 60.00 60.00 60.00
Sites, in units of the cell vectors:
Sb 0.250 0.250 0.250
Cd 0.750 0.750 0.750
Nd 0.500 0.500 0.500
Pu 0.000 0.000 0.000



Record 2
Compound: CePr3Ag4
Source: the Alexandria database
Functional: PBE
Structure: optimized geometry

Properties
The value obtained for the formation energy is -0.19 eV per atom. The total moment comes out at 1.2 μB per formula unit. The density of states at the Fermi level is 1.7325 states/eV/atom. As for the total energy: -33.207 eV/cell.

abc: 3.762 3.762 15.137
angles: 90.00 90.00 90.00
Sites, in units of the cell vectors:
Pr 0.500 0.500 0.249
Pr 0.500 0.500 0.500
Pr 0.500 0.500 0.751
Ag 0.000 0.000 0.876
Ag 0.000 0.000 0.124
Ag 0.000 0.000 0.375
Ag 0.000 0.000 0.625
Ce 0.500 0.500 0.000



Record 3
Compound: LaHPd3
Source: the Alexandria database
Functional: PBE
Structure: optimized geometry

Properties
The total moment comes out at 0.0 μB per formula unit. The energy above the lowest structure with this stoichiometry comes out at 37.2 meV/atom. The density of states at the Fermi level is 0.3845 states/eV/atom. As for the total energy: -53.692 eV/cell.

abc: 4.818 5.536 6.143
angles: 89.99 90.00 90.00
Sites, in units of the cell vectors:
La 0.474 0.339 0.701
La 0.974 0.014 0.201
H 0.981 0.628 0.701
H 0.481 0.725 0.201
Pd 0.474 0.389 0.201
Pd 0.474 0.837 0.928
Pd 0.974 0.515 0.428
Pd 0.974 0.964 0.701
Pd 0.974 0.516 0.973
Pd 0.474 0.837 0.473



Record 4
Compound: LaBeTl2
Source: the Alexandria database
Functional: PBE
Structure: optimized geometry

Properties
The value obtained for the formation energy is 0.15 eV per atom. The total moment comes out at 0.6 μB per formula unit. The energy above the lowest structure with this stoichiometry comes out at 167.8 meV/atom. The density of states at the Fermi level is 0.4847 states/eV/atom. As for the total energy: -12.770 eV/cell.

abc: 3.598 3.598 7.830
angles: 90.00 90.00 101.12
Sites, in units of the cell vectors:
Be 0.500 0.500 0.250
Tl 0.000 0.000 0.053
Tl 0.000 0.000 0.447
La 0.500 0.500 0.750



Record 5
Compound: Er5ScS6
Source: the Alexandria database
Functional: PBE
Structure: optimized geometry

Properties
The total moment comes out at 0.0 μB per formula unit. The density of states at the Fermi level is 0.3757 states/eV/atom. The uncorrected formation energy is -186.9 kJ/mol of atoms. As for the total energy: -77.159 eV/cell.

abc: 6.639 6.646 6.655
angles: 60.05 80.34 70.36
Sites, in units of the cell vectors:
Sc 0.000 0.000 0.000
S 0.755 0.082 0.327
S 0.245 0.591 0.327
S 0.248 0.244 0.000
S 0.752 0.756 0.000
S 0.755 0.409 0.673
S 0.245 0.918 0.673
Er 0.500 0.169 0.662
Er 0.000 0.333 0.333
Er 0.500 0.500 0.000
Er 0.000 0.667 0.667
Er 0.500 0.831 0.338



Record 6
Compound: MnIn5
Source: the Alexandria database
Functional: PBE
Structure: optimized geometry

Properties
The value obtained for the formation energy is 0.45 eV per atom. The total moment comes out at 4.5 μB per formula unit. The density of states at the Fermi level is 0.5192 states/eV/atom. As for the total energy: -20.186 eV/cell.

abc: 5.851 5.851 5.751
angles: 90.00 90.00 120.00
Sites, in units of the cell vectors:
Mn 0.000 0.000 0.000
In 0.333 0.667 0.000
In 0.667 0.333 0.000
In 0.500 0.000 0.500
In 0.000 0.500 0.500
In 0.500 0.500 0.500



Look up the total moment of the sixth one. 4.5 μB per formula unit



Look up the total moment of the first one. 6.8 μB per formula unit